Material: LaTbHg
Method: DFT, PBE-GGA
State: optimized geometry

Results
The total energy comes out at -3.501 eV per atom. The symmetry is No. 187. For the energy above the most stable polymorph in this dataset, the calculation gives 0.117 eV per atom. The total magnetization comes out at 0.00 Bohr magnetons per cell. The formation energy comes out at -0.2143 eV/atom. For the density, the calculation gives 8.84 g cm⁻³.

Unit cell a=3.971 b=5.217 c=5.217 alpha=120.00 beta=90.00 gamma=90.00
Sites, in units of the cell vectors:
La 0.667 0.667 0.333
Hg 0.166 0.333 0.667
Tb 0.167 0.000 0.000

---

Material: Pm6PrTm2Mg
Method: DFT, PBE-GGA
State: optimized geometry

Results
The total energy comes out at -4.275 eV per atom. The symmetry is No. 15. The total magnetization comes out at 0.00 Bohr magnetons per cell. The formation energy comes out at 0.1066 eV/atom. For the density, the calculation gives 6.91 g cm⁻³.

Unit cell a=9.513 b=8.588 c=8.588 alpha=106.41 beta=96.68 gamma=96.68
Sites, in units of the cell vectors:
Tm 0.593 0.201 0.270
Pm 0.596 0.437 0.672
Mg 0.250 0.402 0.598
Tm 0.093 0.270 0.201
Mg 0.750 0.598 0.402
Pm 0.096 0.672 0.437
Pm 0.670 0.967 0.536
Pm 0.573 0.738 0.079
Pr 0.750 0.063 0.937
Pm 0.170 0.536 0.967
Pr 0.250 0.937 0.063
Pm 0.073 0.079 0.738
Pm 0.404 0.563 0.328
Pm 0.830 0.464 0.033
Pm 0.904 0.328 0.563
Pm 0.927 0.921 0.262
Pm 0.330 0.033 0.464
Tm 0.907 0.730 0.799
Tm 0.407 0.799 0.730
Pm 0.427 0.262 0.921

---

Material: TmCuAg2
Method: DFT, PBE-GGA
State: optimized geometry

Results
The total energy comes out at -3.682 eV per atom. The symmetry is No. 225. For the energy above the most stable polymorph in this dataset, the calculation gives 0.000 eV per atom. The total magnetization comes out at 0.00 Bohr magnetons per cell. The formation energy comes out at -0.1148 eV/atom. For the density, the calculation gives 9.79 g cm⁻³.

Unit cell a=4.755 b=4.755 c=4.755 alpha=60.00 beta=60.00 gamma=60.00
Sites, in units of the cell vectors:
Tm 0.000 0.000 0.000
Ag 0.750 0.750 0.750
Ag 0.250 0.250 0.250
Cu 0.500 0.500 0.500

---

Material: Na2Tl2O
Method: DFT, PBE-GGA
State: optimized geometry

Results
The total energy comes out at -2.309 eV per atom. The symmetry is No. 139. The uncorrected formation energy is 0.16 eV per atom. For the energy above the most stable polymorph in this dataset, the calculation gives 0.569 eV per atom. The total magnetization comes out at 0.00 Bohr magnetons per cell. For the density, the calculation gives 6.02 g cm⁻³.

Unit cell a=3.816 b=3.816 c=9.321 alpha=78.19 beta=78.19 gamma=90.00
Sites, in units of the cell vectors:
Na 0.250 0.750 0.500
Tl 0.420 0.420 0.161
Na 0.750 0.250 0.500
Tl 0.580 0.580 0.839
O 0.000 0.000 0.000

---

Material: ReF6
Method: DFT, PBE-GGA
State: optimized geometry

Results
The total energy comes out at -5.506 eV per atom. The symmetry is No. 62. The uncorrected formation energy is -2.12 eV per atom. For the energy above the most stable polymorph in this dataset, the calculation gives 0.000 eV per atom. The total magnetization comes out at 4.00 Bohr magnetons per cell. For the density, the calculation gives 4.42 g cm⁻³.

Unit cell a=5.169 b=8.920 c=9.784 alpha=90.00 beta=90.00 gamma=90.00
Sites, in units of the cell vectors:
F 0.433 0.898 0.238
F 0.933 0.398 0.262
F 0.766 0.602 0.520
F 0.933 0.102 0.262
Re 0.583 0.750 0.129
F 0.567 0.398 0.762
F 0.734 0.602 0.020
F 0.734 0.898 0.020
F 0.375 0.250 0.258
Re 0.083 0.250 0.371
F 0.125 0.250 0.758
F 0.292 0.750 0.017
Re 0.917 0.750 0.629
F 0.208 0.750 0.517
F 0.266 0.398 0.980
F 0.266 0.102 0.980
F 0.234 0.102 0.480
F 0.433 0.602 0.238
F 0.625 0.750 0.742
F 0.875 0.750 0.242
F 0.234 0.398 0.480
F 0.567 0.102 0.762
F 0.766 0.898 0.520
F 0.067 0.602 0.738
F 0.708 0.250 0.983
F 0.792 0.250 0.483
Re 0.417 0.250 0.871
F 0.067 0.898 0.738

---

Material: HfPaRh3
Method: DFT, PBE-GGA
State: optimized geometry

Results
The total energy comes out at -8.880 eV per atom. The symmetry is No. 11. The total magnetization comes out at 0.00 Bohr magnetons per cell. The formation energy comes out at -0.5790 eV/atom. For the density, the calculation gives 12.67 g cm⁻³.

Unit cell a=5.169 b=5.541 c=7.130 alpha=112.84 beta=90.00 gamma=90.00
Sites, in units of the cell vectors:
Pa 0.250 0.197 0.394
Hf 0.250 0.565 0.129
Rh 0.250 0.602 0.723
Rh 0.750 0.398 0.277
Rh 0.500 0.000 0.000
Rh 0.750 0.879 0.277
Pa 0.750 0.803 0.606
Hf 0.750 0.435 0.871
Rh 0.250 0.121 0.723
Rh 0.000 0.000 0.000